Density functional theory data (PBE) for TcGeOsN after structural relaxation.

Lattice parameters (Å, degrees): 4.6976 2.7453 4.8105 90.00 97.90 90.00
With the nearest neighbours (Å) after each atom.
Fractional coordinates of all 4 atoms:
Ge: 0.1564 0.5000 0.0576  1 N 1.96
Os: 0.8003 0.5000 0.6205  1 N 1.98
Tc: 0.2482 0.0000 0.5154  2 N 2.05
N: 0.4427 0.5000 0.7958  1 Ge 1.96, 1 Os 1.98, 2 Tc 2.05

Calculated values
The polymorph energy (0 for the lowest one) comes out at 233 meV per atom. For the uncorrected formation energy, the calculation gives 379 meV per atom.

Density functional theory data (PBE) for GeTeOsN2 after structural relaxation.

Lattice parameters (Å, degrees): 3.7072 3.7072 7.1004 90.00 90.00 90.00
With the nearest neighbours (Å) after each atom.
Fractional coordinates of all 5 atoms:
Ge: 0.0000 0.0000 0.0000  4 N 1.85
Te: 0.0000 0.0000 0.5000  4 Os 2.62
Os: 0.5000 0.5000 0.5000  4 Te 2.62
N: 0.0000 0.5000 0.0000  2 Ge 1.85
N: 0.5000 0.0000 0.0000  2 Ge 1.85

Calculated values
The polymorph energy (0 for the lowest one) comes out at 992 meV per atom. For the uncorrected formation energy, the calculation gives 1791 meV per atom.

Density functional theory data (PBE) for GeTeOsN2 after structural relaxation.

Lattice parameters (Å, degrees): 3.9010 5.4501 3.9010 90.00 90.00 90.00
With the nearest neighbours (Å) after each atom.
Fractional coordinates of all 5 atoms:
Ge: 0.5000 0.5000 0.5000  4 Os 2.76
Te: 0.0000 0.0000 0.0000  4 N 1.95
Os: 0.0000 0.5000 0.0000  2 Te 2.73, 4 Ge 2.76
N: 0.0000 0.0000 0.5000  2 Te 1.95
N: 0.5000 0.0000 0.0000  2 Te 1.95

Calculated values
The polymorph energy (0 for the lowest one) comes out at 1108 meV per atom. For the uncorrected formation energy, the calculation gives 1907 meV per atom.

Density functional theory data (PBE) for GeTeOsN2 after structural relaxation.

Lattice parameters (Å, degrees): 3.9048 3.9048 5.6726 90.00 90.00 90.00
With the nearest neighbours (Å) after each atom.
Fractional coordinates of all 5 atoms:
Ge: 0.5000 0.5000 0.5000  4 Te 2.76
Te: 0.0000 0.0000 0.5000  4 Ge 2.76, 2 Os 2.84
Os: 0.0000 0.0000 0.0000  4 N 1.95
N: 0.0000 0.5000 0.0000  2 Os 1.95
N: 0.5000 0.0000 0.0000  2 Os 1.95

Calculated values
The polymorph energy (0 for the lowest one) comes out at 0 meV per atom. For the uncorrected formation energy, the calculation gives 799 meV per atom.

Density functional theory data (PBE) for ThGeOsN after structural relaxation.

Lattice parameters (Å, degrees): 4.1324 4.1324 8.5336 90.00 90.00 90.00
With the nearest neighbours (Å) after each atom.
Fractional coordinates of all 8 atoms:
Th: 0.5000 0.0000 0.6326  4 N 2.36
Th: 0.0000 0.5000 0.3674  4 N 2.36
Ge: 0.0000 0.5000 0.8381  4 Os 2.49
Ge: 0.5000 0.0000 0.1619  4 Os 2.49
Os: 0.5000 0.5000 0.0000  4 Ge 2.49
Os: 0.0000 0.0000 0.0000  4 Ge 2.49
N: 0.0000 0.0000 0.5000  4 Th 2.36
N: 0.5000 0.5000 0.5000  4 Th 2.36

Calculated values
For the uncorrected formation energy, the calculation gives -806 meV per atom.

Density functional theory data (PBE) for UGeOsN after structural relaxation.

Lattice parameters (Å, degrees): 4.0128 4.0128 7.8188 90.00 90.00 90.00
With the nearest neighbours (Å) after each atom.
Fractional coordinates of all 8 atoms:
U: 0.0000 0.5000 0.8603  4 N 2.28
U: 0.5000 0.0000 0.1397  4 N 2.28
Ge: 0.5000 0.0000 0.6859  4 Os 2.48
Ge: 0.0000 0.5000 0.3141  4 Os 2.48
Os: 0.0000 0.0000 0.5000  4 Ge 2.48
Os: 0.5000 0.5000 0.5000  4 Ge 2.48
N: 0.5000 0.5000 0.0000  4 U 2.28
N: 0.0000 0.0000 0.0000  4 U 2.28

Calculated values
For the uncorrected formation energy, the calculation gives -640 meV per atom.